Entry 1:
Compound: YCuC
Source: the Alexandria database
Functional: PBE
Structure: relaxed

Lattice parameters (Å, degrees): 4.4048 4.4048 5.1846 90.00 90.00 120.00
Space group P6_3/mmc (No. 194)
Unique sites:
Y 0.3333 0.6667 0.2500
Cu 0.0000 0.0000 0.0000
C 0.3333 0.6667 0.7500

Values from the calculation:
The calculation puts the magnetic moment at 0.000 μB/cell. For the electronic total energy, the calculation gives -6.269 eV per atom.

***

Entry 2:
Compound: Er2Be2CdPt5
Source: the Alexandria database
Functional: PBE
Structure: relaxed

Lattice parameters (Å, degrees): 9.5876 9.5876 3.5427 90.00 90.00 90.00
Space group P4/mbm (No. 127)
Unique sites:
Er 0.1779 0.3221 0.0000
Be 0.1185 0.6185 0.0000
Cd 0.0000 0.0000 0.0000
Pt 0.0000 0.5000 0.5000
Pt 0.0689 0.7807 0.5000

Values from the calculation:
The calculation puts the magnetic moment at 0.000 μB/cell. For the electronic total energy, the calculation gives -5.725 eV per atom.

***

Entry 3:
Compound: MoRuAu2
Source: the Alexandria database
Functional: PBE
Structure: relaxed

Lattice parameters (Å, degrees): 5.3560 8.5126 2.8558 90.00 90.00 90.00
Space group Cmmm (No. 65)
Unique sites:
Mo 0.0000 0.0000 0.0000
Ru 0.0000 0.5000 0.0000
Au 0.2500 0.2500 0.5000

Values from the calculation:
For the energy above the most stable polymorph in this dataset, the calculation gives 0.2635 eV per atom. The calculation puts the magnetic moment at 0.001 μB/cell.

***

Entry 4:
Compound: DyB2Ir
Source: the Alexandria database
Functional: PBE
Structure: relaxed

Lattice parameters (Å, degrees): 3.6845 3.6845 13.8923 90.00 90.00 120.00
Space group R-3m (No. 166, hexagonal axes)
Unique sites:
Dy 0.0000 0.0000 0.0000
B 0.0000 0.0000 0.2048
Ir 0.0000 0.0000 0.5000

Values from the calculation:
The calculation puts the magnetic moment at 0.000 μB/cell. For the electronic total energy, the calculation gives -7.152 eV per atom.

***

Entry 5:
Compound: Tm6AgS4
Source: the Alexandria database
Functional: PBE
Structure: relaxed

Lattice parameters (Å, degrees): 3.8486 12.7033 19.8353 90.00 90.00 90.00
Space group Cmcm (No. 63)
Unique sites:
Tm 0.0000 0.0000 0.0000
Tm 0.0000 0.1627 0.2500
Tm 0.0000 0.2722 0.5866
Tm 0.0000 0.4538 0.1616
Ag 0.0000 0.1617 0.7500
S 0.0000 0.0901 0.1218
S 0.0000 0.3613 0.0385

Values from the calculation:
The raw formation energy comes out at -1490 meV/atom. The calculation puts the magnetic moment at 0.000 μB/cell.

***

Entry 6:
Compound: PmSc4S6
Source: the Alexandria database
Functional: PBE
Structure: relaxed

Lattice parameters (Å, degrees): 3.7201 12.1772 19.0610 90.00 90.00 90.00
Space group Cmcm (No. 63)
Unique sites:
Pm 0.0000 0.1539 0.2500
Sc 0.0000 0.0937 0.6239
Sc 0.0000 0.3599 0.5386
S 0.0000 0.0000 0.0000
S 0.0000 0.1759 0.7500
S 0.0000 0.2682 0.0871
S 0.0000 0.4555 0.6605

Values from the calculation:
The raw formation energy comes out at -1954 meV/atom. The calculation puts the magnetic moment at 0.000 μB/cell.

***

Entry 7:
Compound: Cs3Te5Se12
Source: the Alexandria database
Functional: PBE
Structure: relaxed

Lattice parameters (Å, degrees): 18.1342 18.1342 18.1342 90.00 90.00 90.00
Space group Ia-3d (No. 230)
Unique sites:
Cs 0.0000 0.2500 0.1250
Te 0.0000 0.0000 0.0000
Te 0.0000 0.2500 0.3750
Se 0.0367 0.0492 0.6433

Values from the calculation:
The raw formation energy comes out at -167 meV/atom. The calculation puts the magnetic moment at 0.000 μB/cell.

***

Entry 8:
Compound: HfMg6BO7
Source: the Alexandria database
Functional: PBE
Structure: relaxed

Lattice parameters (Å, degrees): 4.0613 4.0613 10.6244 90.00 90.00 90.00
Space group P4mm (No. 99)
Unique sites:
Hf 0.0000 0.0000 0.0000
Mg 0.0000 0.0000 0.5235
Mg 0.0000 0.5000 0.2821
Mg 0.0000 0.5000 0.7517
Mg 0.5000 0.5000 0.5112
B 0.5000 0.5000 0.1520
O 0.0000 0.0000 0.7148
O 0.0000 0.5000 0.4728
O 0.0000 0.5000 0.9394
O 0.5000 0.5000 0.2897
O 0.5000 0.5000 0.6986

Values from the calculation:
The raw formation energy comes out at -2026 meV/atom. For the energy above the most stable polymorph in this dataset, the calculation gives 0.0448 eV per atom. The calculation puts the magnetic moment at 0.000 μB/cell.

***

Entry 9:
Compound: VFePdPt
Source: the Alexandria database
Functional: PBE
Structure: relaxed

Lattice parameters (Å, degrees): 3.8242 3.8297 7.7012 90.00 90.00 90.00
Space group Imm2 (No. 44)
Unique sites:
V 0.0000 0.0000 0.0000
Fe 0.0000 0.5000 0.7492
Pd 0.0000 0.0000 0.4995
Pt 0.0000 0.5000 0.2496

Values from the calculation:
The calculation puts the magnetic moment at 2.694 μB/cell. For the electronic total energy, the calculation gives -7.488 eV per atom.

***

Entry 10:
Compound: Ba3Cl
Source: the Alexandria database
Functional: PBE
Structure: relaxed

Lattice parameters (Å, degrees): 4.3948 4.3948 12.0348 90.00 90.00 120.00
Space group P-6m2 (No. 187)
Unique sites:
Ba 0.0000 0.0000 0.0000
Ba 0.3333 0.6667 0.3055
Cl 0.0000 0.0000 0.5000

Values from the calculation:
The raw formation energy comes out at -830 meV/atom. For the energy above the most stable polymorph in this dataset, the calculation gives 0.0220 eV per atom. The calculation puts the magnetic moment at 0.000 μB/cell.

***

Entry 11:
Compound: Sr4CaAc2
Source: the Alexandria database
Functional: PBE
Structure: relaxed

Lattice parameters (Å, degrees): 6.2771 6.2771 19.5980 90.00 90.00 90.00
Space group I4/mmm (No. 139)
Unique sites:
Sr 0.0000 0.0000 0.1237
Sr 0.0000 0.5000 0.0000
Ca 0.0000 0.0000 0.5000
Ac 0.0000 0.0000 0.3248

Values from the calculation:
For the energy above the most stable polymorph in this dataset, the calculation gives 0.5646 eV per atom. The calculation puts the magnetic moment at 2.805 μB/cell.

***

Entry 12:
Compound: Li3Pu2MnS6
Source: the Alexandria database
Functional: PBE
Structure: relaxed

Lattice parameters (Å, degrees): 6.6286 11.4780 6.5105 90.00 109.80 90.00
Space group C2/m (No. 12)
Unique sites:
Li 0.0000 0.0000 0.0000
Li 0.0000 0.3345 0.0000
Pu 0.0000 0.1667 0.5000
Mn 0.0000 0.5000 0.5000
S 0.2453 0.5000 0.2527
S 0.2462 0.3362 0.7471

Values from the calculation:
The raw formation energy comes out at -1310 meV/atom. The calculation puts the magnetic moment at 7.952 μB/cell.

***

Entry 13:
Compound: WN
Source: the Alexandria database
Functional: PBE
Structure: relaxed

Lattice parameters (Å, degrees): 4.6719 4.6719 4.6719 90.00 90.00 90.00
Space group F-43m (No. 216)
Unique sites:
W 0.0000 0.0000 0.0000
N 0.2500 0.2500 0.2500

Values from the calculation:
The raw formation energy comes out at 198 meV/atom. The calculation puts the magnetic moment at 0.000 μB/cell.

***

Entry 14:
Compound: AcIn4Au2
Source: the Alexandria database
Functional: PBE
Structure: relaxed

Lattice parameters (Å, degrees): 19.0179 4.8535 7.5566 90.00 90.00 90.00
Space group Pnma (No. 62)
Unique sites:
Ac 0.1394 0.2500 0.0185
In 0.0346 0.7500 0.8380
In 0.0690 0.2500 0.4931
In 0.1833 0.7500 0.3259
In 0.1895 0.7500 0.7250
Au 0.0378 0.7500 0.2350
Au 0.2196 0.2500 0.5297

Values from the calculation:
For the energy above the most stable polymorph in this dataset, the calculation gives 0.0000 eV per atom. The calculation puts the magnetic moment at 0.000 μB/cell.

***

Entry 15:
Compound: Dy7YEr2
Source: the Alexandria database
Functional: PBE
Structure: relaxed

Lattice parameters (Å, degrees): 8.6937 16.6264 5.3870 90.00 90.00 90.00
Space group Cmmm (No. 65)
Unique sites:
Dy 0.0000 0.0000 0.0000
Dy 0.0000 0.2962 0.5000
Dy 0.1776 0.3881 0.0000
Y 0.0000 0.5000 0.5000
Er 0.0000 0.2026 0.0000

Values from the calculation:
For the energy above the most stable polymorph in this dataset, the calculation gives 0.6749 eV per atom. The calculation puts the magnetic moment at 0.000 μB/cell.

***

Entry 16:
Compound: PmPrScPd
Source: the Alexandria database
Functional: PBE
Structure: relaxed

Lattice parameters (Å, degrees): 7.4923 7.4923 7.4923 90.00 90.00 90.00
Space group F-43m (No. 216)
Unique sites:
Pm 0.0000 0.0000 0.0000
Pr 0.0000 0.0000 0.5000
Sc 0.2500 0.2500 0.2500
Pd 0.2500 0.2500 0.7500

Values from the calculation:
The calculation puts the magnetic moment at 0.001 μB/cell. For the electronic total energy, the calculation gives -5.371 eV per atom.

***

Entry 17:
Compound: MnRe2
Source: the Alexandria database
Functional: PBE
Structure: relaxed

Lattice parameters (Å, degrees): 3.8006 11.4197 3.8344 90.00 90.00 90.00
Space group Cmcm (No. 63)
Unique sites:
Mn 0.0000 0.0805 0.2500
Re 0.0000 0.2487 0.7500
Re 0.0000 0.4201 0.2500

Values from the calculation:
The calculation puts the magnetic moment at 3.950 μB/cell. For the electronic total energy, the calculation gives -11.263 eV per atom.